MgFeReB: optimized geometry, PBE-GGA.

a = 4.061 Å, b = 4.061 Å, c = 4.061 Å
α = 60.00°, β = 60.00°, γ = 60.00°
Atoms (fractional coordinates):
Mg  0.000  0.000  0.000
Fe  0.750  0.750  0.750
Re  0.250  0.250  0.250
B  0.500  0.500  0.500

Output
* space-group type: No. 216


ZrZnCoPd: optimized geometry, PBE-GGA.

a = 4.477 Å, b = 4.477 Å, c = 4.477 Å
α = 60.00°, β = 60.00°, γ = 60.00°
Atoms (fractional coordinates):
Zr  0.000  0.000  0.000
Zn  0.250  0.250  0.250
Co  0.500  0.500  0.500
Pd  0.750  0.750  0.750

Output
* space-group type: No. 216
* formation enthalpy at 0 K: -149.1 meV per atom


Number 1: energy above the most stable polymorph in this dataset 0.00 eV per formula unit, spin magnetization 2.576 μB/cell, total DFT energy (no corrections) -6.46 eV/atom. Number 2: energy above the most stable polymorph in this dataset 1.01 eV per formula unit, spin magnetization 1.566 μB/cell, total DFT energy (no corrections) -5.67 eV/atom.